## ScIn2W (PBE)

Data for a geometry-optimized ScIn2W structure.

a = 4.176 Å, b = 4.176 Å, c = 10.703 Å
α = 78.75°, β = 78.75°, γ = 90.00°
Fractional coordinates of all 8 atoms:
Sc1 0.500 0.500 0.000
W1 0.000 0.000 0.000
In1 0.108 0.625 0.250
In2 0.375 0.358 0.750
In3 0.642 0.125 0.250
In4 0.875 0.892 0.750
W2 0.750 0.250 0.500
Sc2 0.250 0.750 0.500

Results
E_form   0.637 eV/atom

---

## ScIn2W (PBE)

Data for a geometry-optimized ScIn2W structure.

a = 5.000 Å, b = 3.011 Å, c = 5.333 Å
α = 86.96°, β = 90.00°, γ = 90.00°
Fractional coordinates of all 4 atoms:
In1 0.000 0.099 0.968
In2 0.500 0.133 0.280
W1 0.500 0.697 0.769
Sc1 0.000 0.571 0.483

Results
E_form   0.229 eV/atom

---

## ScIn2W (PBE)

Data for a geometry-optimized ScIn2W structure.

a = 5.180 Å, b = 5.180 Å, c = 5.493 Å
α = 81.35°, β = 81.35°, γ = 34.12°
Fractional coordinates of all 4 atoms:
Sc1 0.250 0.250 0.250
In1 0.006 0.006 0.986
W1 0.750 0.750 0.750
In2 0.494 0.494 0.514

Results
E_form   0.190 eV/atom

---

In order of appearance, spin magnetization = 0.000; 0.060; 0.000 μB/f.u..